(1)
A plane-wave DFT calculation with GGA-PBE was carried out for an optimized crystal structure of Ce2ErW2C4.

Cell lengths 14.0972, 3.4464, 5.9836 Å; angles 90.00, 106.20, 90.00 degrees
Space group C2/m (No. 12)
One atom of each set of equivalent atoms:
Ce: 0.1283 0.0000 0.0277
Er: 0.0000 0.0000 0.5000
W: 0.1780 0.5000 0.5152
C: 0.0499 0.5000 0.2599
C: 0.2282 0.0000 0.7201

Properties
- Total DFT energy (no corrections): -8.8515 eV per atom
- Fermi-level density of states: 15.1 states/eV per cell
- Calculated density: 10.27 g cm⁻³

(2)
A plane-wave DFT calculation with GGA-PBE was carried out for an optimized crystal structure of Ce2EuC.

Cell lengths 3.5395, 3.5395, 29.7402 Å; angles 90.00, 90.00, 120.00 degrees
Space group R-3m (No. 166, hexagonal axes)
One atom of each set of equivalent atoms:
Ce: 0.0000 0.0000 0.1188
Eu: 0.0000 0.0000 0.0000
C: 0.0000 0.0000 0.5000

Properties
- Total DFT energy (no corrections): -7.8537 eV per atom
- Fermi-level density of states: 24.4 states/eV per cell
- Calculated density: 6.86 g cm⁻³

(3)
A plane-wave DFT calculation with GGA-PBE was carried out for an optimized crystal structure of Ce3EuC.

Cell lengths 5.0594, 5.0594, 5.0594 Å; angles 90.00, 90.00, 90.00 degrees
Space group Pm-3m (No. 221)
One atom of each set of equivalent atoms:
Ce: 0.0000 0.0000 0.5000
Eu: 0.5000 0.5000 0.5000
C: 0.0000 0.0000 0.0000

Properties
- Total DFT energy (no corrections): -7.3840 eV per atom
- Fermi-level density of states: 10.8 states/eV per cell
- Calculated density: 7.49 g cm⁻³

(4)
A plane-wave DFT calculation with GGA-PBE was carried out for an optimized crystal structure of CeCF.

Cell lengths 3.4386, 3.4386, 8.0045 Å; angles 90.00, 90.00, 90.00 degrees
Space group I4mm (No. 107)
One atom of each set of equivalent atoms:
Ce: 0.0000 0.0000 0.0000
C: 0.0000 0.0000 0.5779
F: 0.0000 0.0000 0.2927

Properties
- Fermi-level density of states: 2.9 states/eV per cell
- Calculated density: 6.00 g cm⁻³
- Relative energy among the computed polymorphs: 3.48 eV/f.u.